DFT (PBEsol) results for RbLiIn2W after structural relaxation.

The structure belongs to space group P4/mmm (No. 123); the cell edges are 5.321, 5.321 and 5.430 Å and the angles 90.00°, 90.00° and 90.00°. The distinct sites, in fractional coordinates, are Rb at (0.000, 0.000, 0.000), Li at (0.500, 0.500, 0.000), In at (0.000, 0.500, 0.500) and W at (0.500, 0.500, 0.500).

Its total energy is -3.81 eV per atom. The value obtained for the density of states at the Fermi level is 3.8 states/eV/f.u. The value obtained for the total magnetization is 1.75 μB/cell.